Record 1
Here is FeTc2P2 after structural relaxation from Alexandria. Energies are from PBE.

Computed properties:
calculated formation energy: -10 kJ/mol of atoms
calculated total energy: -40.53 eV/f.u.
calculated density: 8.09 g cm⁻³
total magnetic moment: 0.000 μB/atom
excess energy over the best structure of this formula in the dataset: 0.000 eV per atom

a = 6.6947 Å, b = 6.6947 Å, c = 2.8757 Å
α = 90.00°, β = 90.00°, γ = 90.00°
Space group P4/mbm (No. 127)
One atom of each set of equivalent atoms:
Fe  0.0000  0.0000  0.0000 (multiplicity 2)
Tc  0.1490  0.3510  0.5000 (multiplicity 4)
P  0.1539  0.6539  0.0000 (multiplicity 4)

Record 2
Here is FeTc2P after structural relaxation from Alexandria. Energies are from PBE.

Computed properties:
calculated formation energy: -25 kJ/mol of atoms
calculated total energy: -35.65 eV/f.u.
calculated density: 9.33 g cm⁻³
total magnetic moment: 0.181 μB/atom

a = 2.8558 Å, b = 4.1994 Å, c = 8.3908 Å
α = 90.00°, β = 90.00°, γ = 90.00°
Space group Imm2 (No. 44)
One atom of each set of equivalent atoms:
Fe  0.0000  0.0000  0.0000 (multiplicity 2)
Tc  0.0000  0.0000  0.4405 (multiplicity 2)
Tc  0.0000  0.5000  0.2202 (multiplicity 2)
P  0.0000  0.5000  0.7049 (multiplicity 2)

Record 3
Here is FeTc2P after structural relaxation from Alexandria. Energies are from PBE.

Computed properties:
calculated formation energy: -3 kJ/mol of atoms
calculated total energy: -34.72 eV/f.u.
calculated density: 9.10 g cm⁻³
total magnetic moment: 0.008 μB/atom

a = 2.7384 Å, b = 2.7384 Å, c = 23.8301 Å
α = 90.00°, β = 90.00°, γ = 120.00°
Space group R3m (No. 160, hexagonal axes)
One atom of each set of equivalent atoms:
Fe  0.0000  0.0000  0.0000 (multiplicity 3)
Tc  0.0000  0.0000  0.5140 (multiplicity 3)
Tc  0.0000  0.0000  0.7550 (multiplicity 3)
P  0.0000  0.0000  0.2642 (multiplicity 3)

Record 4
Here is FeTc2P after structural relaxation from Alexandria. Energies are from PBE.

Computed properties:
calculated formation energy: -16 kJ/mol of atoms
calculated total energy: -35.29 eV/f.u.
calculated density: 9.26 g cm⁻³
total magnetic moment: 0.000 μB/atom

a = 3.8538 Å, b = 2.7828 Å, c = 9.4572 Å
α = 90.00°, β = 90.00°, γ = 90.00°
Space group Amm2 (No. 38)
One atom of each set of equivalent atoms:
Fe  0.0000  0.0000  0.0000 (multiplicity 2)
Tc  0.0000  0.0000  0.7318 (multiplicity 2)
Tc  0.5000  0.0000  0.3769 (multiplicity 2)
P  0.5000  0.0000  0.1175 (multiplicity 2)